1.
RbSeOF2: optimized geometry, GGA-PBE.

Geometry as extended XYZ:
```
5
Lattice="-1.531 1.350 -4.597 -4.505 -2.047 0.899 -1.469 3.959 1.652" Properties=species:S:1:pos:R:3 pbc="T T T"
F -2.253 -1.024 0.450
F -0.765 0.675 -2.298
Se -3.753 1.631 -1.023
Rb 0.000 0.000 0.000
O -0.735 1.979 0.826
```

Summary:
VASP energy   -2.564 eV per atom
Relative energy among the computed polymorphs   1559 meV/atom
Uncorrected formation energy   67 meV per atom
Space group   P4/mmm

2.
RbThAgBr6: optimized geometry, GGA-PBE.

Geometry as extended XYZ:
```
18
Lattice="-6.003 3.579 -2.520 0.577 -7.356 -0.870 -7.047 -2.174 13.701" Properties=species:S:1:pos:R:3 pbc="T T T"
Ag -9.095 -1.696 8.306
Ag -3.378 -4.254 2.005
Th -5.571 -0.609 1.455
Th -6.901 -5.341 8.856
Rb -3.523 -1.087 6.851
Rb 0.000 0.000 0.000
Br -3.220 0.960 1.012
Br -7.941 -3.831 6.658
Br -8.006 -3.288 10.515
Br -6.130 -7.400 7.024
Br -9.253 -6.911 9.299
Br -6.343 1.449 3.287
Br -5.720 -6.527 11.177
Br -4.466 -2.663 -0.204
Br -8.115 -1.860 1.851
Br -4.358 -4.091 8.460
Br -4.532 -2.120 3.653
Br -6.752 0.576 -0.866
```

Summary:
VASP energy   -3.811 eV per atom
Uncorrected formation energy   -1447 meV per atom
Space group   P-31c

3.
CaTb3Nd2As6: optimized geometry, GGA-PBE.

Geometry as extended XYZ:
```
12
Lattice="4.202 0.000 0.000 0.000 8.411 0.284 -2.101 -2.442 8.847" Properties=species:S:1:pos:R:3 pbc="T T T"
Tb 2.101 -0.235 5.953
Tb 0.000 6.203 3.178
Tb 2.101 4.205 0.142
As 0.000 1.837 6.039
As 0.000 6.132 6.120
As 0.000 6.240 0.251
As 2.101 -0.163 3.011
As 2.101 -0.271 8.880
As 2.101 4.131 3.092
Nd 0.000 1.970 3.021
Nd 2.101 3.998 6.110
Ca 2.101 0.000 0.000
```

Summary:
VASP energy   -5.865 eV per atom
Space group   C2/m

4.
Sm3Zn4In: optimized geometry, GGA-PBE.

Geometry as extended XYZ:
```
8
Lattice="-3.180 0.294 -1.920 -0.761 -6.670 0.241 -2.063 3.894 7.626" Properties=species:S:1:pos:R:3 pbc="T T T"
Sm -4.370 -2.768 3.199
Sm -0.381 -3.335 0.120
Sm -1.633 0.286 2.748
In -1.590 0.147 -0.960
Zn -2.845 -1.715 0.834
Zn -3.159 -0.768 5.113
Zn -2.863 1.821 5.019
Zn -3.141 -4.304 0.927
```

Summary:
VASP energy   -2.938 eV per atom
Space group   Immm

5.
MgP2Pd7Pb2: optimized geometry, GGA-PBE.

Geometry as extended XYZ:
```
12
Lattice="4.528 0.465 0.049 0.471 4.527 0.049 2.601 2.598 11.082" Properties=species:S:1:pos:R:3 pbc="T T T"
Pd 2.499 2.496 0.049
Pd 4.225 4.220 6.830
Pd 4.879 2.843 9.361
Pd 3.375 3.371 4.351
Pd 2.849 4.875 9.361
Pd 2.721 4.748 1.820
Pd 4.751 2.715 1.820
P 5.135 5.129 8.751
P 2.465 2.462 2.430
Pb 2.216 2.213 6.768
Pb 5.384 5.377 4.413
Mg 0.000 0.000 0.000
```

Summary:
VASP energy   -5.113 eV per atom
Space group   C2/m

6.
YN2OF: optimized geometry, GGA-PBE.

Geometry as extended XYZ:
```
5
Lattice="-4.486 0.953 -1.222 -1.430 -1.110 4.387 0.545 4.138 1.224" Properties=species:S:1:pos:R:3 pbc="T T T"
N -0.715 -0.555 2.193
N -2.243 0.476 -0.611
F 0.273 2.069 0.612
O -2.685 1.990 2.195
Y 0.000 0.000 0.000
```

Summary:
VASP energy   -5.545 eV per atom
Uncorrected formation energy   444 meV per atom
Space group   P4/mmm

7.
YBe3Cr: optimized geometry, GGA-PBE.

Geometry as extended XYZ:
```
5
Lattice="4.856 0.000 0.000 0.000 4.856 0.000 0.000 0.000 4.856" Properties=species:S:1:pos:R:3 pbc="T T T"
Cr 2.428 2.428 2.428
Be 2.428 0.000 0.000
Be 0.000 0.000 2.428
Be 0.000 2.428 0.000
Y 0.000 0.000 0.000
```

Summary:
VASP energy   -3.356 eV per atom
Relative energy among the computed polymorphs   1640 meV/atom
Space group   Pm-3m

8.
TbYIr4: optimized geometry, GGA-PBE.

Geometry as extended XYZ:
```
6
Lattice="-5.169 -0.053 -1.449 -2.588 -4.672 -0.540 -3.769 -1.407 3.554" Properties=species:S:1:pos:R:3 pbc="T T T"
Ir -7.204 -3.833 0.978
Ir -4.620 -3.806 1.702
Ir -5.910 -1.496 1.248
Ir -5.319 -3.129 -0.799
Y -2.882 -1.533 0.391
Tb 0.000 0.000 0.000
```

Summary:
VASP energy   -8.556 eV per atom
Space group   F-43m

In order of appearance, total moment = 2.642 0.000 0.000 0.000 0.000 6.000 4.874 0.000 μB/f.u..